Below is crystalline CeTa2RhN4 at its relaxed geometry, with properties calculated at the PBE-GGA level.

Calculated values
Total magnetic moment in μB per cell: 0.0
Uncorrected formation energy in eV per atom: -0.847
E_tot in hartree per atom: -0.354

Unit cell a=5.666 b=5.666 c=11.263 alpha=90.00 beta=90.00 gamma=147.13
Element x y z (fractional)
Ce1 0.112 0.888 0.750
Ce2 0.888 0.112 0.250
Ta1 0.371 0.629 0.553
Ta2 0.371 0.629 0.947
Ta3 0.629 0.371 0.053
Ta4 0.629 0.371 0.447
Rh1 0.161 0.839 0.250
Rh2 0.839 0.161 0.750
N1 0.000 0.000 0.000
N2 0.000 0.000 0.500
N3 0.274 0.726 0.101
N4 0.274 0.726 0.399
N5 0.471 0.529 0.750
N6 0.529 0.471 0.250
N7 0.726 0.274 0.601
N8 0.726 0.274 0.899